1.
Here is a geometry-optimized Pm6Y2Ho3Tm structure from Alexandria. Energies are from GGA-PBE.

Computed properties:
spin magnetization = 0.0 μB/f.u.
formation energy = 0.01 eV per atom
crystal system = monoclinic

abc: 6.2372 6.2372 11.8102
angles: 95.03 95.03 119.98
With the nearest neighbours (Å) after each atom.
Positions (direct):
Pm: 0.0837 0.4159 0.7506  3 Ho 3.57, 1 Tm 3.58, 2 Y 3.58, 6 Pm 3.59-3.61
Pm: 0.2485 0.2485 0.2493  3 Ho 3.57, 1 Tm 3.57, 2 Y 3.58, 6 Pm 3.59-3.61
Pm: 0.4159 0.0837 0.7506  3 Ho 3.57, 1 Tm 3.58, 2 Y 3.58, 6 Pm 3.59-3.61
Pm: 0.5841 0.9163 0.2494  3 Ho 3.57, 1 Tm 3.58, 2 Y 3.58, 6 Pm 3.59-3.61
Pm: 0.7515 0.7515 0.7507  3 Ho 3.57, 1 Tm 3.57, 2 Y 3.58, 6 Pm 3.59-3.61
Pm: 0.9163 0.5841 0.2494  3 Ho 3.57, 1 Tm 3.58, 2 Y 3.58, 6 Pm 3.59-3.61
Y: 0.3333 0.6667 0.5000  6 Pm 3.58, 3 Y 3.60, 3 Tm 3.60
Y: 0.6667 0.3333 0.5000  6 Pm 3.58, 3 Y 3.60, 3 Tm 3.60
Ho: 0.1666 0.8334 0.0000  6 Pm 3.57, 6 Ho 3.60
Ho: 0.5000 0.5000 0.0000  6 Pm 3.57, 6 Ho 3.60
Ho: 0.8334 0.1666 0.0000  6 Pm 3.57, 6 Ho 3.60
Tm: 0.0000 0.0000 0.5000  6 Pm 3.57-3.58, 6 Y 3.60


2.
Here is a geometry-optimized TmZnAuO4 structure from Alexandria. Energies are from GGA-PBE.

Computed properties:
spin magnetization = 0.0 μB/f.u.
energy relative to the elements, uncorrected = -1.59 eV per atom
crystal system = orthorhombic

abc: 6.7293 6.7293 6.7293
angles: 124.77 121.39 84.77
With the nearest neighbours (Å) after each atom.
Positions (direct):
Tm: 0.0000 0.0000 0.0000  6 O 2.21-2.35
Tm: 0.5000 0.0000 0.5000  6 O 2.21-2.35
Zn: 0.3640 0.6140 0.7500  2 O 1.85
Zn: 0.6360 0.3860 0.2500  2 O 1.85
Au: 0.0000 0.0000 0.5000  4 O 2.07
Au: 0.0000 0.5000 0.0000  4 O 2.07
O: 0.1882 0.2341 0.9541  2 Au 2.07
O: 0.2200 0.7659 0.4541  2 Au 2.07
O: 0.2936 0.2684 0.4748  1 Zn 1.85
O: 0.2936 0.8188 0.0252  1 Zn 1.85
O: 0.7064 0.1812 0.9748  1 Zn 1.85
O: 0.7064 0.7316 0.5252  1 Zn 1.85
O: 0.7800 0.2341 0.5459  2 Au 2.07
O: 0.8118 0.7659 0.0459  2 Au 2.07


3.
Here is a geometry-optimized PrMg5Au3 structure from Alexandria. Energies are from GGA-PBE.

Computed properties:
spin magnetization = 0.0 μB/f.u.
formation energy = -0.48 eV per atom
crystal system = orthorhombic

abc: 7.6380 7.6380 13.6883
angles: 90.00 90.00 149.69
With the nearest neighbours (Å) after each atom.
Positions (direct):
Pr: 0.1687 0.8313 0.7500  6 Au 3.31-3.39
Pr: 0.8313 0.1687 0.2500  6 Au 3.31-3.39
Mg: 0.0000 0.0000 0.0000  4 Au 2.80, 6 Mg 2.94-3.03
Mg: 0.0000 0.0000 0.5000  4 Au 2.80, 6 Mg 2.94-3.03
Mg: 0.1980 0.8020 0.0598  4 Au 2.71-2.88, 3 Mg 3.00-3.03
Mg: 0.1980 0.8020 0.4402  4 Au 2.71-2.88, 3 Mg 3.00-3.03
Mg: 0.4442 0.5558 0.6459  4 Au 2.79-3.03, 3 Mg 2.85-2.94
Mg: 0.4442 0.5558 0.8541  4 Au 2.79-3.03, 3 Mg 2.85-2.94
Mg: 0.5558 0.4442 0.1459  4 Au 2.79-3.03, 3 Mg 2.85-2.94
Mg: 0.5558 0.4442 0.3541  4 Au 2.79-3.03, 3 Mg 2.85-2.94
Mg: 0.8020 0.1980 0.5598  4 Au 2.71-2.88, 3 Mg 3.00-3.03
Mg: 0.8020 0.1980 0.9402  4 Au 2.71-2.88, 3 Mg 3.00-3.03
Au: 0.1458 0.8542 0.2500  6 Mg 2.72-2.79
Au: 0.3820 0.6180 0.0653  7 Mg 2.71-3.03
Au: 0.3820 0.6180 0.4347  7 Mg 2.71-3.03
Au: 0.6180 0.3820 0.5653  7 Mg 2.71-3.03
Au: 0.6180 0.3820 0.9347  7 Mg 2.71-3.03
Au: 0.8542 0.1458 0.7500  6 Mg 2.72-2.79


4.
Here is a geometry-optimized InReBr2 structure from Alexandria. Energies are from GGA-PBE.

Computed properties:
spin magnetization = 0.1 μB/f.u.
energy relative to the elements, uncorrected = 1.12 eV per atom
relative energy among the computed polymorphs = 0.949 eV/atom
crystal system = orthorhombic

abc: 5.2187 5.2187 3.1706
angles: 90.00 90.00 91.37
With the nearest neighbours (Å) after each atom.
Positions (direct):
In: 0.0000 0.0000 0.0000  8 Br 3.05, 2 In 3.17
Re: 0.5000 0.5000 0.0000  8 Br 3.05, 2 Re 3.17
Br: 0.0000 0.5000 0.5000  4 In 3.05, 4 Re 3.05, 2 Br 3.17
Br: 0.5000 0.0000 0.5000  4 In 3.05, 4 Re 3.05, 2 Br 3.17


5.
Here is a geometry-optimized CsRe3Sb structure from Alexandria. Energies are from GGA-PBE.

Computed properties:
spin magnetization = 3.1 μB/f.u.
energy relative to the elements, uncorrected = 3.94 eV per atom
crystal system = cubic

abc: 4.9716 4.9716 4.9716
angles: 90.00 90.00 90.00
With the nearest neighbours (Å) after each atom.
Positions (direct):
Cs: 0.0000 0.0000 0.0000  6 Re 2.49
Re: 0.0000 0.0000 0.5000  2 Cs 2.49
Re: 0.0000 0.5000 0.0000  2 Cs 2.49
Re: 0.5000 0.0000 0.0000  2 Cs 2.49
Sb: 0.5000 0.5000 0.5000  12 Re 3.52


6.
Here is a geometry-optimized TaOs3Rh structure from Alexandria. Energies are from GGA-PBE.

Computed properties:
spin magnetization = 0.0 μB/f.u.
relative energy among the computed polymorphs = 0.000 eV/atom
formation energy = 1.20 eV per atom
crystal system = trigonal

abc: 5.2624 5.2624 5.2624
angles: 59.97 59.97 59.97
With the nearest neighbours (Å) after each atom.
Positions (direct):
Ta: 0.0000 0.0000 0.0000  6 Os 2.63
Os: 0.0000 0.5000 0.5000  4 Os 2.63, 2 Ta 2.63, 2 Rh 2.63
Os: 0.5000 0.0000 0.5000  4 Os 2.63, 2 Ta 2.63, 2 Rh 2.63
Os: 0.5000 0.5000 0.0000  2 Ta 2.63, 4 Os 2.63, 2 Rh 2.63
Rh: 0.5000 0.5000 0.5000  6 Os 2.63


7.
Here is a geometry-optimized CaSbPt2 structure from Alexandria. Energies are from GGA-PBE.

Computed properties:
spin magnetization = 0.0 μB/f.u.
energy relative to the elements, uncorrected = -0.68 eV per atom
crystal system = trigonal

abc: 5.5500 5.5500 5.5500
angles: 48.99 48.99 48.99
With the nearest neighbours (Å) after each atom.
Positions (direct):
Ca: 0.0000 0.0000 0.0000  8 Pt 3.01-3.25
Sb: 0.5000 0.5000 0.5000  6 Pt 2.72
Pt: 0.2057 0.2057 0.2057  3 Sb 2.72, 3 Pt 2.89, 1 Ca 3.01
Pt: 0.7943 0.7943 0.7943  3 Sb 2.72, 3 Pt 2.89, 1 Ca 3.01


8.
Here is a geometry-optimized Mg4HgMo structure from Alexandria. Energies are from GGA-PBE.

Computed properties:
spin magnetization = 3.4 μB/f.u.
formation energy = 0.51 eV per atom
crystal system = cubic

abc: 5.6333 5.6333 5.6333
angles: 60.00 60.00 60.00
With the nearest neighbours (Å) after each atom.
Positions (direct):
Mg: 0.1246 0.1246 0.1246  6 Mg 2.81-2.82
Mg: 0.1246 0.1246 0.6261  6 Mg 2.81-2.82
Mg: 0.1246 0.6261 0.1246  6 Mg 2.81-2.82
Mg: 0.6261 0.1246 0.1246  6 Mg 2.81-2.82
Hg: 0.5000 0.5000 0.5000  12 Mg 3.30, 4 Mo 3.45
Mo: 0.7500 0.7500 0.7500  12 Mg 3.30, 4 Hg 3.45


9.
Here is a geometry-optimized CaLaCoCu structure from Alexandria. Energies are from GGA-PBE.

Computed properties:
spin magnetization = 0.4 μB/f.u.
formation energy = 0.05 eV per atom
crystal system = cubic

abc: 4.9756 4.9756 4.9756
angles: 60.00 60.00 60.00
With the nearest neighbours (Å) after each atom.
Positions (direct):
Ca: 0.0000 0.0000 0.0000  4 Cu 3.05, 4 Co 3.05
La: 0.5000 0.5000 0.5000  4 Cu 3.05, 4 Co 3.05
Co: 0.2500 0.2500 0.2500  4 La 3.05, 4 Ca 3.05
Cu: 0.7500 0.7500 0.7500  4 La 3.05, 4 Ca 3.05


10.
Here is a geometry-optimized MgCd2SiW structure from Alexandria. Energies are from GGA-PBE.

Computed properties:
spin magnetization = 4.1 μB/f.u.
energy relative to the elements, uncorrected = 1.36 eV per atom
crystal system = tetragonal

abc: 5.0324 5.0324 4.8976
angles: 90.00 90.00 90.00
With the nearest neighbours (Å) after each atom.
Positions (direct):
Mg: 0.0000 0.0000 0.0000  2 Si 2.45
Cd: 0.0000 0.5000 0.5000  2 Si 2.52
Cd: 0.5000 0.0000 0.5000  2 Si 2.52
Si: 0.0000 0.0000 0.5000  2 Mg 2.45, 4 Cd 2.52
W: 0.5000 0.5000 0.0000  8 Cd 3.51, 4 Mg 3.56


11.
Here is a geometry-optimized Mg6PdPt2 structure from Alexandria. Energies are from GGA-PBE.

Computed properties:
spin magnetization = 0.0 μB/f.u.
relative energy among the computed polymorphs = 0.047 eV/atom
formation energy = -0.57 eV per atom
crystal system = monoclinic

abc: 7.6891 7.6891 4.4748
angles: 106.78 106.78 47.96
With the nearest neighbours (Å) after each atom.
Positions (direct):
Mg: 0.0798 0.5845 0.3321  3 Pt 2.71-2.72, 1 Pd 2.74
Mg: 0.2482 0.7518 0.0000  2 Pt 2.71, 2 Pd 2.74
Mg: 0.4155 0.9202 0.6679  3 Pt 2.71-2.72, 1 Pd 2.74
Mg: 0.5845 0.0798 0.3321  3 Pt 2.71-2.72, 1 Pd 2.74
Mg: 0.7518 0.2482 0.0000  2 Pt 2.71, 2 Pd 2.74
Mg: 0.9202 0.4155 0.6679  3 Pt 2.71-2.72, 1 Pd 2.74
Pd: 0.5000 0.5000 0.5000  8 Mg 2.74
Pt: 0.1665 0.1665 0.1668  8 Mg 2.71-2.72
Pt: 0.8335 0.8335 0.8332  8 Mg 2.71-2.72


12.
Here is a geometry-optimized YCd2Cu2 structure from Alexandria. Energies are from GGA-PBE.

Computed properties:
spin magnetization = 0.0 μB/f.u.
relative energy among the computed polymorphs = 0.173 eV/atom
formation energy = 0.02 eV per atom
crystal system = tetragonal

abc: 8.0347 8.0347 2.9814
angles: 90.00 90.00 90.00
With the nearest neighbours (Å) after each atom.
Positions (direct):
Y: 0.0000 0.0000 0.0000  2 Y 2.98, 4 Cd 3.17, 8 Cu 3.33
Y: 0.5000 0.5000 0.0000  2 Y 2.98, 4 Cd 3.17, 8 Cu 3.33
Cd: 0.1265 0.3735 0.0000  6 Cu 2.73-2.85, 3 Cd 2.87-2.98
Cd: 0.3735 0.8735 0.0000  6 Cu 2.73-2.85, 3 Cd 2.87-2.98
Cd: 0.6265 0.1265 0.0000  6 Cu 2.73-2.85, 3 Cd 2.87-2.98
Cd: 0.8735 0.6265 0.0000  6 Cu 2.73-2.85, 3 Cd 2.87-2.98
Cu: 0.1725 0.6725 0.5000  6 Cd 2.73-2.85, 2 Cu 2.98
Cu: 0.3275 0.1725 0.5000  6 Cd 2.73-2.85, 2 Cu 2.98
Cu: 0.6725 0.8275 0.5000  6 Cd 2.73-2.85, 2 Cu 2.98
Cu: 0.8275 0.3275 0.5000  6 Cd 2.73-2.85, 2 Cu 2.98


> What is the spin magnetization in the ninth record?

0.4 μB/f.u.